(1)
# PBE La2Pr5DyMg, relaxed
# E = -157.066 eV for the cell shown
data_La2Pr5DyMg
_chemical_formula_sum 'La8 Pr20 Dy4 Mg4'
_symmetry_space_group_name_H-M 'C m c 21'
_symmetry_Int_Tables_number 36
_cell_length_a 5.665
_cell_length_b 20.379
_cell_length_c 10.929
_cell_angle_alpha 90.00
_cell_angle_beta 90.00
_cell_angle_gamma 90.00
loop_
_symmetry_equiv_pos_as_xyz
'x,y,z'
'-x,-y,z+1/2'
'-x,y,z'
'x,-y,z+1/2'
'x+1/2,y+1/2,z'
'-x+1/2,-y+1/2,z+1/2'
'-x+1/2,y+1/2,z'
'x+1/2,-y+1/2,z+1/2'
loop_
_atom_site_label
_atom_site_fract_x
_atom_site_fract_y
_atom_site_fract_z
_atom_site_occupancy
La1 0.000 0.116 0.000 1
La2 0.000 0.116 0.418 1
Pr1 0.000 0.015 0.709 1
Pr2 0.000 0.286 0.013 1
Pr3 0.000 0.287 0.406 1
Pr4 0.000 0.379 0.709 1
Pr5 0.000 0.500 0.459 1
Dy1 0.000 0.200 0.710 1
Mg1 0.000 0.404 0.209 1


(2)
# PBE AsRuCl3, relaxed
# formation energy from raw total energies = 0.670 eV/atom
# energy relative to the lowest polymorph listed for this composition = 0.286 eV/atom
data_AsRuCl3
_chemical_formula_sum 'As1 Ru1 Cl3'
_symmetry_space_group_name_H-M 'P m -3 m'
_symmetry_Int_Tables_number 221
_symmetry_space_group_name_Hall '-P 4 2 3'
_cell_length_a 5.078
_cell_length_b 5.078
_cell_length_c 5.078
_cell_angle_alpha 90.00
_cell_angle_beta 90.00
_cell_angle_gamma 90.00
loop_
_atom_site_label
_atom_site_fract_x
_atom_site_fract_y
_atom_site_fract_z
_atom_site_occupancy
As1 0.000 0.000 0.000 1
Ru1 0.500 0.500 0.500 1
Cl1 0.000 0.000 0.500 1


(3)
# PBE In11GaHg17, relaxed
# E = -74.884 eV for the cell shown
data_In11GaHg17
_chemical_formula_sum 'In22 Ga2 Hg34'
_symmetry_space_group_name_H-M 'C 1 m 1'
_symmetry_Int_Tables_number 8
_cell_length_a 13.304
_cell_length_b 14.994
_cell_length_c 8.275
_cell_angle_alpha 90.00
_cell_angle_beta 107.94
_cell_angle_gamma 90.00
loop_
_symmetry_equiv_pos_as_xyz
'x,y,z'
'x,-y,z'
'x+1/2,y+1/2,z'
'x+1/2,-y+1/2,z'
loop_
_atom_site_label
_atom_site_fract_x
_atom_site_fract_y
_atom_site_fract_z
_atom_site_occupancy
In1 0.000 0.000 0.000 1
In2 0.100 0.396 0.657 1
In3 0.203 0.198 0.493 1
In4 0.238 0.106 0.076 1
In5 0.408 0.178 0.826 1
In6 0.421 0.392 0.350 1
Ga1 0.053 0.000 0.672 1
Hg1 0.030 0.500 0.958 1
Hg2 0.038 0.211 0.128 1
Hg3 0.069 0.192 0.738 1
Hg4 0.159 0.000 0.373 1
Hg5 0.164 0.385 0.287 1
Hg6 0.267 0.299 0.988 1
Hg7 0.275 0.500 0.025 1
Hg8 0.283 0.000 0.761 1
Hg9 0.334 0.393 0.670 1
Hg10 0.407 0.190 0.389 1
Hg11 0.456 0.000 0.287 1


(4)
# PBE CsHgH, relaxed
# energy relative to the lowest polymorph listed for this composition = 0.106 eV/atom
data_CsHgH
_chemical_formula_sum 'Cs1 Hg1 H1'
_symmetry_space_group_name_H-M 'P 3 m 1'
_symmetry_Int_Tables_number 156
_cell_length_a 4.6172
_cell_length_b 4.6172
_cell_length_c 5.6938
_cell_angle_alpha 90.00
_cell_angle_beta 90.00
_cell_angle_gamma 120.00
loop_
_symmetry_equiv_pos_as_xyz
'x,y,z'
'-y,x-y,z'
'-x+y,-x,z'
'-y,-x,z'
'-x+y,y,z'
'x,x-y,z'
loop_
_atom_site_label
_atom_site_fract_x
_atom_site_fract_y
_atom_site_fract_z
_atom_site_occupancy
Cs1 0.0000 0.0000 0.0000 1
Hg1 0.6667 0.3333 0.5133 1
H1 0.3333 0.6667 0.7759 1


(5)
# PBE Ce2ScPa, relaxed
# energy relative to the lowest polymorph listed for this composition = 0.245 eV/atom
data_Ce2ScPa
_chemical_formula_sum 'Ce8 Sc4 Pa4'
_symmetry_space_group_name_H-M 'F m -3 m'
_symmetry_Int_Tables_number 225
_symmetry_space_group_name_Hall '-F 4 2 3'
_cell_length_a 7.452
_cell_length_b 7.452
_cell_length_c 7.452
_cell_angle_alpha 90.00
_cell_angle_beta 90.00
_cell_angle_gamma 90.00
loop_
_atom_site_label
_atom_site_fract_x
_atom_site_fract_y
_atom_site_fract_z
_atom_site_occupancy
Ce1 0.250 0.250 0.250 1
Sc1 0.000 0.000 0.000 1
Pa1 0.000 0.000 0.500 1


(6)
# PBE Er3Ga3Fe, relaxed
# E = -138.804 eV for the cell shown
data_Er3Ga3Fe
_chemical_formula_sum 'Er12 Ga12 Fe4'
_symmetry_space_group_name_H-M 'C 1 2/m 1'
_symmetry_Int_Tables_number 12
_cell_length_a 10.633
_cell_length_b 4.250
_cell_length_c 13.982
_cell_angle_alpha 90.00
_cell_angle_beta 109.82
_cell_angle_gamma 90.00
loop_
_symmetry_equiv_pos_as_xyz
'x,y,z'
'-x,-y,-z'
'-x,y,-z'
'x,-y,z'
'x+1/2,y+1/2,z'
'-x+1/2,-y+1/2,-z'
'-x+1/2,y+1/2,-z'
'x+1/2,-y+1/2,z'
loop_
_atom_site_label
_atom_site_fract_x
_atom_site_fract_y
_atom_site_fract_z
_atom_site_occupancy
Er1 0.028 0.000 0.384 1
Er2 0.105 0.000 0.922 1
Er3 0.243 0.000 0.234 1
Ga1 0.038 0.500 0.237 1
Ga2 0.111 0.500 0.076 1
Ga3 0.144 0.500 0.542 1
Fe1 0.243 0.500 0.397 1


(7)
# PBE CsNiS2Cl, relaxed
# formation energy from raw total energies = -0.390 eV/atom
# energy relative to the lowest polymorph listed for this composition = 0.000 eV/atom
data_CsNiS2Cl
_chemical_formula_sum 'Cs1 Ni1 S2 Cl1'
_symmetry_space_group_name_H-M 'P 4/m m m'
_symmetry_Int_Tables_number 123
_symmetry_space_group_name_Hall '-P 4 2'
_cell_length_a 4.520
_cell_length_b 4.520
_cell_length_c 6.136
_cell_angle_alpha 90.00
_cell_angle_beta 90.00
_cell_angle_gamma 90.00
loop_
_atom_site_label
_atom_site_fract_x
_atom_site_fract_y
_atom_site_fract_z
_atom_site_occupancy
Cs1 0.000 0.000 0.000 1
Ni1 0.500 0.500 0.500 1
S1 0.000 0.500 0.500 1
Cl1 0.500 0.500 0.000 1


(8)
# PBE Be5SiNi4, relaxed
# formation energy from raw total energies = -0.264 eV/atom
data_Be5SiNi4
_chemical_formula_sum 'Be10 Si2 Ni8'
_symmetry_space_group_name_H-M 'C 1 2/m 1'
_symmetry_Int_Tables_number 12
_cell_length_a 8.423
_cell_length_b 3.701
_cell_length_c 6.270
_cell_angle_alpha 90.00
_cell_angle_beta 92.63
_cell_angle_gamma 90.00
loop_
_symmetry_equiv_pos_as_xyz
'x,y,z'
'-x,-y,-z'
'-x,y,-z'
'x,-y,z'
'x+1/2,y+1/2,z'
'-x+1/2,-y+1/2,-z'
'-x+1/2,y+1/2,-z'
'x+1/2,-y+1/2,z'
loop_
_atom_site_label
_atom_site_fract_x
_atom_site_fract_y
_atom_site_fract_z
_atom_site_occupancy
Be1 0.000 0.000 0.000 1
Be2 0.186 0.500 0.444 1
Be3 0.223 0.500 0.081 1
Si1 0.000 0.000 0.500 1
Ni1 0.039 0.500 0.782 1
Ni2 0.173 0.000 0.250 1